# 1
The following is a PBE-GGA calculation of a relaxed structure of LaNdIrPt, from the Alexandria database.

Cell and atoms, written as POSCAR:
```
LaNdIrPt
1.0
-3.5504 0.7601 1.6031
-1.2883 -4.1916 -0.8660
3.6451 -1.9657 4.0916
La Nd Ir Pt
1 1 1 1
direct
0.1412 0.0000 0.2824
0.8628 0.5000 0.7257
0.4099 0.0000 0.8197
0.5861 0.5000 0.1722
```

Its formation energy is -21.2 kcal/mol of atoms. The energy is -0.5196 Ry per atom. The energy above the most stable polymorph in this dataset comes out at 0 meV per atom. Its density of states at the Fermi level is 0.54 states/eV per atom.

---

# 2
The following is a PBE-GGA calculation of a relaxed structure of LaNdIrPt, from the Alexandria database.

Cell and atoms, written as POSCAR:
```
LaNdIrPt
1.0
-1.3581 2.1376 -4.4188
-3.0033 -2.5358 -3.2388
-4.8096 1.5097 -0.7267
Ir Nd Pt La
1 1 1 1
direct
0.2500 0.2500 0.2500
0.0000 0.0000 0.0000
0.7500 0.7500 0.7500
0.5000 0.5000 0.5000
```

Its formation energy is -19.3 kcal/mol of atoms. The energy is -0.5134 Ry per atom. The energy above the most stable polymorph in this dataset comes out at 84 meV per atom. Its density of states at the Fermi level is 0.44 states/eV per atom.

---

# 3
The following is a PBE-GGA calculation of a relaxed structure of LaNdTeIr, from the Alexandria database.

Cell and atoms, written as POSCAR:
```
LaNdTeIr
1.0
-0.7951 -1.4119 3.9468
-2.3410 -1.4032 -3.2781
6.2286 -4.3161 -2.6006
La Nd Te Ir
1 1 1 1
direct
0.1068 0.9514 0.0730
0.4963 0.1460 0.6575
0.9728 0.3845 0.3727
0.3020 0.5488 0.8664
```

The energy is -0.4765 Ry per atom. The value obtained for the uncorrected formation energy is -4.2 eV per formula unit. Its density of states at the Fermi level is 0.83 states/eV per atom.

---

# 4
The following is a PBE-GGA calculation of a relaxed structure of LaNdTlIr, from the Alexandria database.

Cell and atoms, written as POSCAR:
```
LaNdTlIr
1.0
5.3086 0.0000 0.0000
2.6543 4.5973 0.0000
2.6543 1.5324 4.3344
Tl Ir Nd La
1 1 1 1
direct
0.5000 0.5000 0.5000
0.0000 0.0000 0.0000
0.7500 0.7500 0.7500
0.2500 0.2500 0.2500
```

Its formation energy is -8.3 kcal/mol of atoms. The energy is -0.4109 Ry per atom. Its density of states at the Fermi level is 1.02 states/eV per atom.

---

# 5
The following is a PBE-GGA calculation of a relaxed structure of LaNi3Ir, from the Alexandria database.

Cell and atoms, written as POSCAR:
```
LaNi3Ir
1.0
-0.6059 -0.7830 4.4283
2.6696 -3.6584 -0.2816
3.6189 2.5677 0.9491
Ni Ir La
3 1 1
direct
0.0000 0.5000 0.0000
0.0000 0.0000 0.5000
0.5000 0.0000 0.0000
0.5000 0.5000 0.5000
0.0000 0.0000 0.0000
```

Its formation energy is 36.3 kcal/mol of atoms. The energy is -0.3420 Ry per atom. The energy above the most stable polymorph in this dataset comes out at 1815 meV per atom. Its density of states at the Fermi level is 0.97 states/eV per atom.

---

# 6
The following is a PBE-GGA calculation of a relaxed structure of La3Ni2Ir7, from the Alexandria database.

Cell and atoms, written as POSCAR:
```
La3Ni2Ir7
1.0
5.1360 0.0000 1.6075
2.3164 4.5839 1.6075
-0.0481 -0.0296 9.1619
La Ni Ir
3 2 7
direct
0.0000 0.0000 0.0000
0.8599 0.8599 0.4202
0.1401 0.1401 0.5798
0.6670 0.6670 0.9990
0.3330 0.3330 0.0010
0.5000 0.5000 0.5000
0.9222 0.4211 0.2355
0.4211 0.9222 0.2355
0.4211 0.4211 0.2355
0.0778 0.5789 0.7645
0.5789 0.5789 0.7645
0.5789 0.0778 0.7645
```

Its formation energy is -13.2 kcal/mol of atoms. The energy is -0.5834 Ry per atom. Its density of states at the Fermi level is 1.10 states/eV per atom.

---

# 7
The following is a PBE-GGA calculation of a relaxed structure of LaNiIr2, from the Alexandria database.

Cell and atoms, written as POSCAR:
```
LaNiIr2
1.0
-4.4565 1.2056 0.4256
-3.1221 -3.1240 1.4101
-1.9101 0.3682 4.2085
Ir La Ni
2 1 1
direct
0.0000 0.0000 0.0000
0.2500 0.2500 0.2500
0.5000 0.5000 0.5000
0.7500 0.7500 0.7500
```

Its formation energy is 2.7 kcal/mol of atoms. The energy is -0.5139 Ry per atom. The energy above the most stable polymorph in this dataset comes out at 670 meV per atom. Its density of states at the Fermi level is 2.00 states/eV per atom.

---

# 8
The following is a PBE-GGA calculation of a relaxed structure of La2NiIr, from the Alexandria database.

Cell and atoms, written as POSCAR:
```
La2NiIr
1.0
-2.3414 -0.7788 3.5557
-2.6482 -2.0099 -2.1840
1.4867 -5.6384 -0.2559
Ni Ir La
1 1 2
direct
0.0000 0.7039 0.4672
0.5000 0.5452 0.7850
0.0000 0.9880 0.8988
0.5000 0.2630 0.3490
```

Its formation energy is -12.7 kcal/mol of atoms. The energy is -0.4906 Ry per atom. Its density of states at the Fermi level is 0.61 states/eV per atom.